Compound: Ba3Na2Sb4
Source: Alexandria via LeMat-Bulk
Functional: GGA-PBEsol
Structure: optimized geometry

Cell: 9.1761 8.1963 19.1641 Å, 90.00 118.27 90.00°
With the nearest neighbours (Å) after each atom.
Sites, in units of the cell vectors:
Ba1 0.0476 0.1759 0.3673  6 Sb 3.35-3.55
Ba2 0.0476 0.3241 0.8673  6 Sb 3.35-3.55
Ba3 0.2851 0.0120 0.0946  7 Sb 3.54-3.95, 1 Na 3.91
Ba4 0.2851 0.4880 0.5946  7 Sb 3.54-3.95, 1 Na 3.91
Ba5 0.4069 0.5128 0.0950  6 Sb 3.52-3.61
Ba6 0.4069 0.9872 0.5950  6 Sb 3.52-3.61
Ba7 0.5931 0.0128 0.4050  6 Sb 3.52-3.61
Ba8 0.5931 0.4872 0.9050  6 Sb 3.52-3.61
Ba9 0.7149 0.5120 0.4054  7 Sb 3.54-3.95, 1 Na 3.91
Ba10 0.7149 0.9880 0.9054  7 Sb 3.54-3.95, 1 Na 3.91
Ba11 0.9524 0.6759 0.1327  6 Sb 3.35-3.55
Ba12 0.9524 0.8241 0.6327  6 Sb 3.35-3.55
Na1 0.2119 0.6825 0.3766  6 Sb 3.31-3.62
Na2 0.2119 0.8175 0.8766  6 Sb 3.31-3.62
Na3 0.2766 0.1484 0.7529  3 Sb 3.16-3.28
Na4 0.2766 0.3516 0.2529  3 Sb 3.16-3.28
Na5 0.7234 0.6484 0.7471  3 Sb 3.16-3.28
Na6 0.7234 0.8516 0.2471  3 Sb 3.16-3.28
Na7 0.7881 0.1825 0.1234  6 Sb 3.31-3.62
Na8 0.7881 0.3175 0.6234  6 Sb 3.31-3.62
Sb1 0.0046 0.1568 0.5383  1 Sb 2.94
Sb2 0.0046 0.3432 0.0383  1 Sb 2.94
Sb3 0.1763 0.5170 0.7523  1 Sb 2.87, 1 Na 3.16
Sb4 0.1763 0.9830 0.2523  1 Sb 2.87, 1 Na 3.16
Sb5 0.3864 0.7270 0.2496  1 Sb 2.87
Sb6 0.3864 0.7730 0.7496  1 Sb 2.87
Sb7 0.4277 0.1522 0.9608  1 Sb 2.89
Sb8 0.4277 0.3478 0.4608  1 Sb 2.89
Sb9 0.5723 0.6522 0.5392  1 Sb 2.89
Sb10 0.5723 0.8478 0.0392  1 Sb 2.89
Sb11 0.6136 0.2270 0.2504  1 Sb 2.87
Sb12 0.6136 0.2730 0.7504  1 Sb 2.87
Sb13 0.8237 0.0170 0.7477  1 Sb 2.87, 1 Na 3.16
Sb14 0.8237 0.4830 0.2477  1 Sb 2.87, 1 Na 3.16
Sb15 0.9954 0.6568 0.9617  1 Sb 2.94
Sb16 0.9954 0.8432 0.4617  1 Sb 2.94

space-group type	P2_1/c
raw formation energy	-0.81	eV per atom

Compound: SrFe2Ag
Source: Alexandria via LeMat-Bulk
Functional: GGA-PBEsol
Structure: optimized geometry

Cell: 3.1266 3.7764 6.5773 Å, 90.00 90.00 90.00°
With the nearest neighbours (Å) after each atom.
Sites, in units of the cell vectors:
Sr1 0.0000 0.0000 0.0000  2 Sr 3.13, 8 Fe 3.29, 2 Ag 3.29
Fe1 0.5000 0.5000 0.3333  1 Fe 2.19
Fe2 0.5000 0.5000 0.6667  1 Fe 2.19
Ag1 0.0000 0.0000 0.5000  8 Fe 2.69

space-group type	Pmmm
DFT formation energy	2.75	eV/f.u.

Compound: Li2MoSe
Source: Alexandria via LeMat-Bulk
Functional: GGA-PBEsol
Structure: optimized geometry

Cell: 3.2401 3.2401 5.6732 Å, 90.00 90.00 90.00°
With the nearest neighbours (Å) after each atom.
Sites, in units of the cell vectors:
Li1 0.0000 0.0000 0.0000  4 Li 2.67, 2 Mo 2.76-2.91, 4 Se 2.81
Li2 0.5000 0.5000 0.2408  4 Li 2.67, 1 Se 2.68, 4 Mo 2.76
Mo1 0.0000 0.0000 0.5136  4 Se 2.56, 5 Li 2.76
Se1 0.5000 0.5000 0.7139  4 Mo 2.56, 5 Li 2.68-2.81

space-group type	P4mm
raw formation energy	-0.16	eV per atom

Compound: Na2NbAg
Source: Alexandria via LeMat-Bulk
Functional: GGA-PBEsol
Structure: optimized geometry

Cell: 6.4720 6.4720 6.4720 Å, 101.05 101.05 128.07°
With the nearest neighbours (Å) after each atom.
Sites, in units of the cell vectors:
Na1 0.0902 0.1250 0.4652  2 Ag 2.81, 2 Na 2.89
Na2 0.3750 0.9098 0.0348  2 Ag 2.81, 2 Na 2.89
Na3 0.6598 0.6250 0.5348  2 Ag 2.81, 2 Na 2.89
Na4 0.8750 0.3402 0.9652  2 Ag 2.81, 2 Na 2.89
Nb1 0.2500 0.7500 0.5000  2 Ag 2.83
Nb2 0.5000 0.5000 0.0000  2 Ag 2.83
Ag1 0.0000 0.0000 0.0000  4 Na 2.81, 2 Nb 2.83
Ag2 0.7500 0.2500 0.5000  4 Na 2.81, 2 Nb 2.83

space-group type	I-42d
polymorph energy (0 for the lowest one)	30.4	meV/atom
DFT formation energy	4.56	eV/f.u.

Compound: OsSe
Source: Alexandria via LeMat-Bulk
Functional: GGA-PBEsol
Structure: optimized geometry

Cell: 4.4609 4.4609 4.4609 Å, 60.00 60.00 60.00°
With the nearest neighbours (Å) after each atom.
Sites, in units of the cell vectors:
Os1 0.1250 0.1250 0.1250  4 Se 2.73, 4 Os 2.73
Os2 0.8750 0.8750 0.8750  4 Se 2.73, 4 Os 2.73
Se1 0.3750 0.3750 0.3750  4 Se 2.73, 4 Os 2.73
Se2 0.6250 0.6250 0.6250  4 Os 2.73, 4 Se 2.73

space-group type	Fd-3m
raw formation energy	1.10	eV per atom

Compound: LiPb3
Source: Alexandria via LeMat-Bulk
Functional: GGA-PBEsol
Structure: optimized geometry

Cell: 6.2409 6.2409 6.2409 Å, 116.80 116.80 116.80°
With the nearest neighbours (Å) after each atom.
Sites, in units of the cell vectors:
Li1 0.0000 0.0000 0.0000  6 Pb 3.27, 2 Li 3.39
Pb1 0.0000 0.5000 0.5000  6 Pb 3.27-3.39, 2 Li 3.27
Pb2 0.5000 0.0000 0.5000  2 Li 3.27, 6 Pb 3.27-3.39
Pb3 0.5000 0.5000 0.0000  6 Pb 3.27-3.39, 2 Li 3.27

space-group type	R-3m
DFT formation energy	-0.27	eV/f.u.

Compound: Mg16Al12Sn
Source: Alexandria via LeMat-Bulk
Functional: GGA-PBEsol
Structure: optimized geometry

Cell: 9.0532 9.0532 9.0532 Å, 109.22 109.22 109.22°
With the nearest neighbours (Å) after each atom.
Sites, in units of the cell vectors:
Mg1 0.0000 0.0000 0.0000  1 Sn 3.05, 3 Mg 3.14, 12 Al 3.16-3.23
Mg2 0.0022 0.4044 0.6839  5 Al 2.86-3.14, 7 Mg 3.02-3.19
Mg3 0.0022 0.6839 0.4044  5 Al 2.86-3.14, 7 Mg 3.02-3.19
Mg4 0.0031 0.0031 0.6547  4 Mg 3.02-3.14, 6 Al 3.08-3.10
Mg5 0.0031 0.6547 0.0031  4 Mg 3.02-3.14, 6 Al 3.08-3.10
Mg6 0.2937 0.6031 0.6031  5 Al 2.91-3.21, 1 Sn 3.05, 6 Mg 3.12-3.16
Mg7 0.3183 0.3183 0.7162  5 Al 2.92-3.12, 7 Mg 3.02-3.15
Mg8 0.3183 0.7162 0.3183  5 Al 2.92-3.12, 7 Mg 3.02-3.15
Mg9 0.4044 0.0022 0.6839  5 Al 2.86-3.14, 7 Mg 3.02-3.19
Mg10 0.4044 0.6839 0.0022  5 Al 2.86-3.14, 7 Mg 3.02-3.19
Mg11 0.6031 0.2937 0.6031  5 Al 2.91-3.21, 1 Sn 3.05, 6 Mg 3.12-3.16
Mg12 0.6031 0.6031 0.2937  5 Al 2.91-3.21, 1 Sn 3.05, 6 Mg 3.12-3.16
Mg13 0.6547 0.0031 0.0031  4 Mg 3.02-3.14, 6 Al 3.08-3.10
Mg14 0.6839 0.0022 0.4044  5 Al 2.86-3.14, 7 Mg 3.02-3.19
Mg15 0.6839 0.4044 0.0022  5 Al 2.86-3.14, 7 Mg 3.02-3.19
Mg16 0.7162 0.3183 0.3183  5 Al 2.92-3.12, 7 Mg 3.02-3.15
Al1 0.1850 0.3696 0.9969  3 Al 2.72-2.78, 3 Mg 2.86-2.99
Al2 0.1850 0.9969 0.3696  3 Al 2.72-2.78, 3 Mg 2.86-2.99
Al3 0.1882 0.8185 0.8185  3 Al 2.68-2.73, 3 Mg 2.91-2.97
Al4 0.3696 0.1850 0.9969  3 Al 2.72-2.78, 3 Mg 2.86-2.99
Al5 0.3696 0.9969 0.1850  3 Al 2.72-2.78, 3 Mg 2.86-2.99
Al6 0.6403 0.6403 0.8279  3 Al 2.68-2.77, 3 Mg 2.92-2.96
Al7 0.6403 0.8279 0.6403  3 Al 2.68-2.77, 3 Mg 2.92-2.96
Al8 0.8185 0.1882 0.8185  3 Al 2.68-2.73, 3 Mg 2.91-2.97
Al9 0.8185 0.8185 0.1882  3 Al 2.68-2.73, 3 Mg 2.91-2.97
Al10 0.8279 0.6403 0.6403  3 Al 2.68-2.77, 3 Mg 2.92-2.96
Al11 0.9969 0.1850 0.3696  3 Al 2.72-2.78, 3 Mg 2.86-2.99
Al12 0.9969 0.3696 0.1850  3 Al 2.72-2.78, 3 Mg 2.86-2.99
Sn1 0.3331 0.3331 0.3331  4 Mg 3.05, 6 Al 3.07

space-group type	R3m
polymorph energy (0 for the lowest one)	2.8	meV/atom
DFT formation energy	-0.37	eV/f.u.

Compound: Er3Ni19B10
Source: Alexandria via LeMat-Bulk
Functional: GGA-PBEsol
Structure: optimized geometry

Cell: 7.7890 7.7890 5.6879 Å, 91.20 91.20 66.88°
With the nearest neighbours (Å) after each atom.
Sites, in units of the cell vectors:
Er1 0.0000 0.0000 0.0000  14 Ni 2.73-2.84
Er2 0.3741 0.3741 0.6142  6 B 2.73-2.88, 11 Ni 2.77-3.02
Er3 0.6259 0.6259 0.3858  6 B 2.73-2.88, 11 Ni 2.77-3.02
Ni1 0.0000 0.0000 0.5000  4 B 2.24, 2 Ni 2.38
Ni2 0.0455 0.5167 0.3025  4 B 2.10-2.31
Ni3 0.1222 0.6240 0.9262  4 B 2.06-2.11
Ni4 0.1621 0.1621 0.7042  4 B 2.07-2.28
Ni5 0.1821 0.1821 0.2700  4 B 2.01-2.10
Ni6 0.2292 0.7109 0.3010  3 B 2.04-2.14
Ni7 0.2891 0.7708 0.6990  3 B 2.04-2.14
Ni8 0.3760 0.8778 0.0738  4 B 2.06-2.11
Ni9 0.3775 0.3775 0.1282  4 B 2.02-2.10
Ni10 0.4833 0.9545 0.6975  4 B 2.10-2.31
Ni11 0.5167 0.0455 0.3025  4 B 2.10-2.31
Ni12 0.6225 0.6225 0.8718  4 B 2.02-2.10
Ni13 0.6240 0.1222 0.9262  4 B 2.06-2.11
Ni14 0.7109 0.2292 0.3010  3 B 2.04-2.14
Ni15 0.7708 0.2891 0.6990  3 B 2.04-2.14
Ni16 0.8179 0.8179 0.7300  4 B 2.01-2.10
Ni17 0.8379 0.8379 0.2958  4 B 2.07-2.28
Ni18 0.8778 0.3760 0.0738  4 B 2.06-2.11
Ni19 0.9545 0.4833 0.6975  4 B 2.10-2.31
B1 0.0655 0.6990 0.5698  6 Ni 2.01-2.24
B2 0.1412 0.3516 0.9744  1 B 1.81
B3 0.3010 0.9345 0.4302  6 Ni 2.01-2.24
B4 0.3516 0.1412 0.9744  1 B 1.81
B5 0.3850 0.6150 0.0000  1 B 1.97, 6 Ni 2.02-2.07
B6 0.6150 0.3850 0.0000  1 B 1.97, 6 Ni 2.02-2.07
B7 0.6484 0.8588 0.0256  1 B 1.81
B8 0.6990 0.0655 0.5698  6 Ni 2.01-2.24
B9 0.8588 0.6484 0.0256  1 B 1.81
B10 0.9345 0.3010 0.4302  6 Ni 2.01-2.24

space-group type	C2/m
DFT formation energy	-16.10	eV/f.u.

Compound: Ti5P3
Source: Alexandria via LeMat-Bulk
Functional: GGA-PBEsol
Structure: optimized geometry

Cell: 9.6339 7.3628 6.4253 Å, 90.00 90.00 90.00°
With the nearest neighbours (Å) after each atom.
Sites, in units of the cell vectors:
Ti1 0.0007 0.2500 0.0288  5 P 2.51-2.55, 3 Ti 2.71-2.79
Ti2 0.0706 0.0466 0.6935  3 P 2.36-2.60
Ti3 0.0706 0.4534 0.6935  3 P 2.36-2.60
Ti4 0.2078 0.7500 0.3533  5 P 2.36-2.63
Ti5 0.2251 0.2500 0.3396  5 P 2.37-2.62
Ti6 0.2749 0.7500 0.8396  5 P 2.37-2.62
Ti7 0.2922 0.2500 0.8533  5 P 2.36-2.63
Ti8 0.4294 0.5466 0.1935  3 P 2.36-2.60
Ti9 0.4294 0.9534 0.1935  3 P 2.36-2.60
Ti10 0.4993 0.7500 0.5288  5 P 2.51-2.55, 3 Ti 2.71-2.79
Ti11 0.5007 0.2500 0.4712  5 P 2.51-2.55, 3 Ti 2.71-2.79
Ti12 0.5706 0.0466 0.8065  3 P 2.36-2.60
Ti13 0.5706 0.4534 0.8065  3 P 2.36-2.60
Ti14 0.7078 0.7500 0.1467  5 P 2.36-2.63
Ti15 0.7251 0.2500 0.1604  5 P 2.37-2.62
Ti16 0.7749 0.7500 0.6604  5 P 2.37-2.62
Ti17 0.7922 0.2500 0.6467  5 P 2.36-2.63
Ti18 0.9294 0.5466 0.3065  3 P 2.36-2.60
Ti19 0.9294 0.9534 0.3065  3 P 2.36-2.60
Ti20 0.9993 0.7500 0.9712  5 P 2.51-2.55, 3 Ti 2.71-2.79
P1 0.0150 0.7500 0.5807  7 Ti 2.36-2.51
P2 0.1737 0.5094 0.0710  9 Ti 2.51-2.81
P3 0.1737 0.9906 0.0710  9 Ti 2.51-2.81
P4 0.3263 0.0094 0.5710  9 Ti 2.51-2.81
P5 0.3263 0.4906 0.5710  9 Ti 2.51-2.81
P6 0.4850 0.2500 0.0807  7 Ti 2.36-2.51
P7 0.5150 0.7500 0.9193  7 Ti 2.36-2.51
P8 0.6737 0.5094 0.4290  9 Ti 2.51-2.81
P9 0.6737 0.9906 0.4290  9 Ti 2.51-2.81
P10 0.8263 0.0094 0.9290  9 Ti 2.51-2.81
P11 0.8263 0.4906 0.9290  9 Ti 2.51-2.81
P12 0.9850 0.2500 0.4193  7 Ti 2.36-2.51

space-group type	Pnma
DFT formation energy	-9.57	eV/f.u.

Compound: Mo3Ru
Source: Alexandria via LeMat-Bulk
Functional: GGA-PBEsol
Structure: optimized geometry

Cell: 4.7798 4.7798 2.7611 Å, 90.00 90.00 109.46°
With the nearest neighbours (Å) after each atom.
Sites, in units of the cell vectors:
Mo1 0.0000 0.0000 0.0000  2 Ru 2.76, 10 Mo 2.76
Mo2 0.0000 0.5000 0.5000  8 Mo 2.76, 4 Ru 2.76
Mo3 0.5000 0.0000 0.5000  8 Mo 2.76, 4 Ru 2.76
Ru1 0.5000 0.5000 0.0000  10 Mo 2.76, 2 Ru 2.76

space-group type	Cmmm
DFT formation energy	0.98	eV/f.u.

Number 1: uncorrected energy -139.24 eV for the cell shown. Number 2: uncorrected energy -20.33 eV for the cell shown. Number 3: uncorrected energy -20.18 eV for the cell shown. Number 4: uncorrected energy -24.74 eV for the cell shown. Number 5: uncorrected energy -27.74 eV for the cell shown. Number 6: uncorrected energy -14.23 eV for the cell shown. Number 7: uncorrected energy -81.20 eV for the cell shown. Number 8: uncorrected energy -218.03 eV for the cell shown. Number 9: uncorrected energy -274.24 eV for the cell shown. Number 10: uncorrected energy -44.50 eV for the cell shown.